# PrDyIrBr | Alexandria via LeMat-Bulk | GGA-PBE | optimized geometry
data_PrDyIrBr
_chemical_formula_sum 'Pr3 Dy3 Ir3 Br3'
_symmetry_space_group_name_H-M 'R 3 m'
_symmetry_Int_Tables_number 160
_symmetry_space_group_name_Hall 'R 3 -2"'
_cell_length_a 4.1130
_cell_length_b 4.1130
_cell_length_c 23.4043
_cell_angle_alpha 90.00
_cell_angle_beta 90.00
_cell_angle_gamma 120.00
loop_
_atom_site_label
_atom_site_type_symbol
_atom_site_fract_x
_atom_site_fract_y
_atom_site_fract_z
Pr1 Pr 0.0000 0.0000 0.0000
Dy1 Dy 0.0000 0.0000 0.2060
Ir1 Ir 0.0000 0.0000 0.5995
Br1 Br 0.0000 0.0000 0.7734
# * DOS at the Fermi energy: 2.577 states/eV/cell
# * total magnetization: 0.0 μB/cell
# * final energy: -6.06 eV/atom